[1]
Below is BaCdSi2Ni after structural relaxation, with properties calculated at the PBE-GGA level.

Computed properties:
Total moment   0.00 μB/f.u.
Formation energy (no corrections)   1690 meV/atom

a b c (Å): 5.7496 5.7496 4.9452
angles (deg): 90.00 90.00 90.00
Element x y z (fractional)
Ba (0.0000, 0.0000, 0.0000)
Cd (0.5000, 0.5000, 0.5000)
Si (0.0000, 0.5000, 0.0000)
Si (0.5000, 0.0000, 0.0000)
Ni (0.0000, 0.0000, 0.5000)

---

[2]
Below is Ba2CdNiSn after structural relaxation, with properties calculated at the PBE-GGA level.

Computed properties:
Total moment   0.00 μB/f.u.
Formation energy from the elements   -139 kJ/mol of formula units

a b c (Å): 6.0697 6.0697 4.8553
angles (deg): 90.00 90.00 90.00
Element x y z (fractional)
Ba (0.0000, 0.5000, 0.0000)
Ba (0.5000, 0.0000, 0.0000)
Cd (0.0000, 0.0000, 0.5000)
Ni (0.5000, 0.5000, 0.0000)
Sn (0.5000, 0.5000, 0.5000)

---

[3]
Below is BaCd2NiSn after structural relaxation, with properties calculated at the PBE-GGA level.

Computed properties:
Total moment   0.00 μB/f.u.
Formation energy from the elements   -127 kJ/mol of formula units

a b c (Å): 5.1536 5.1536 5.0092
angles (deg): 90.00 90.00 90.00
Element x y z (fractional)
Ba (0.0000, 0.0000, 0.0000)
Cd (0.0000, 0.5000, 0.5000)
Cd (0.5000, 0.0000, 0.5000)
Ni (0.5000, 0.5000, 0.5000)
Sn (0.5000, 0.5000, 0.0000)

---

[4]
Below is Ba2SrCdNi after structural relaxation, with properties calculated at the PBE-GGA level.

Computed properties:
Total moment   0.00 μB/f.u.
Formation energy from the elements   -14 kJ/mol of formula units

a b c (Å): 6.0127 6.0127 5.8052
angles (deg): 90.00 90.00 90.00
Element x y z (fractional)
Ba (0.0000, 0.5000, 0.0000)
Ba (0.5000, 0.0000, 0.0000)
Sr (0.0000, 0.0000, 0.5000)
Cd (0.5000, 0.5000, 0.5000)
Ni (0.0000, 0.0000, 0.0000)

---

[5]
Below is Ba2SrCdNi after structural relaxation, with properties calculated at the PBE-GGA level.

Computed properties:
Total moment   0.00 μB/f.u.
Formation energy from the elements   7 kJ/mol of formula units

a b c (Å): 6.0776 6.0776 5.3121
angles (deg): 90.00 90.00 90.00
Element x y z (fractional)
Ba (0.0000, 0.5000, 0.0000)
Ba (0.5000, 0.0000, 0.0000)
Sr (0.0000, 0.0000, 0.5000)
Cd (0.5000, 0.5000, 0.5000)
Ni (0.5000, 0.5000, 0.0000)

---

[6]
Below is BaCdTcNi2 after structural relaxation, with properties calculated at the PBE-GGA level.

Computed properties:
Total moment   3.37 μB/f.u.
Formation energy from the elements   765 kJ/mol of formula units

a b c (Å): 4.8200 4.8200 5.9286
angles (deg): 90.00 90.00 90.00
Element x y z (fractional)
Ba (0.0000, 0.0000, 0.0000)
Cd (0.0000, 0.0000, 0.5000)
Tc (0.5000, 0.5000, 0.0000)
Ni (0.0000, 0.5000, 0.5000)
Ni (0.5000, 0.0000, 0.5000)

---

[7]
Below is Ba2CdNiTe after structural relaxation, with properties calculated at the PBE-GGA level.

Computed properties:
Total moment   0.00 μB/f.u.
Formation energy (no corrections)   -620 meV/atom

a b c (Å): 5.8685 5.8685 4.9936
angles (deg): 90.00 90.00 90.00
Element x y z (fractional)
Ba (0.0000, 0.5000, 0.0000)
Ba (0.5000, 0.0000, 0.0000)
Cd (0.0000, 0.0000, 0.5000)
Ni (0.0000, 0.0000, 0.0000)
Te (0.5000, 0.5000, 0.5000)

---

[8]
Below is BaTl2CdNi after structural relaxation, with properties calculated at the PBE-GGA level.

Computed properties:
Total moment   0.00 μB/f.u.
Formation energy from the elements   -23 kJ/mol of formula units

a b c (Å): 5.1883 5.1883 5.7429
angles (deg): 90.00 90.00 90.00
Element x y z (fractional)
Ba (0.0000, 0.0000, 0.0000)
Tl (0.0000, 0.5000, 0.5000)
Tl (0.5000, 0.0000, 0.5000)
Cd (0.5000, 0.5000, 0.0000)
Ni (0.0000, 0.0000, 0.5000)

---

[9]
Below is Ba2TlCdNi after structural relaxation, with properties calculated at the PBE-GGA level.

Computed properties:
Total moment   0.00 μB/f.u.
Formation energy from the elements   -57 kJ/mol of formula units

a b c (Å): 5.9479 5.9479 5.0575
angles (deg): 90.00 90.00 90.00
Element x y z (fractional)
Ba (0.0000, 0.5000, 0.0000)
Ba (0.5000, 0.0000, 0.0000)
Tl (0.0000, 0.0000, 0.5000)
Cd (0.5000, 0.5000, 0.5000)
Ni (0.5000, 0.5000, 0.0000)

---

[10]
Below is Ba2TlCdNi after structural relaxation, with properties calculated at the PBE-GGA level.

Computed properties:
Total moment   0.00 μB/f.u.
Formation energy from the elements   -71 kJ/mol of formula units

a b c (Å): 5.9874 5.9874 5.0472
angles (deg): 90.00 90.00 90.00
Element x y z (fractional)
Ba (0.0000, 0.5000, 0.0000)
Ba (0.5000, 0.0000, 0.0000)
Tl (0.0000, 0.0000, 0.5000)
Cd (0.5000, 0.5000, 0.5000)
Ni (0.0000, 0.0000, 0.0000)

---

[11]
Below is BaTlCd2Ni after structural relaxation, with properties calculated at the PBE-GGA level.

Computed properties:
Total moment   0.00 μB/f.u.
Formation energy from the elements   -83 kJ/mol of formula units

a b c (Å): 5.1725 5.1725 5.1245
angles (deg): 90.00 90.00 90.00
Element x y z (fractional)
Ba (0.0000, 0.0000, 0.0000)
Tl (0.5000, 0.5000, 0.0000)
Cd (0.0000, 0.5000, 0.5000)
Cd (0.5000, 0.0000, 0.5000)
Ni (0.5000, 0.5000, 0.5000)

---

[12]
Below is BaTl2CdNi after structural relaxation, with properties calculated at the PBE-GGA level.

Computed properties:
Total moment   0.00 μB/f.u.
Formation energy from the elements   -75 kJ/mol of formula units

a b c (Å): 5.1898 5.1898 5.1937
angles (deg): 90.00 90.00 90.00
Element x y z (fractional)
Ba (0.0000, 0.0000, 0.0000)
Tl (0.0000, 0.5000, 0.5000)
Tl (0.5000, 0.0000, 0.5000)
Cd (0.5000, 0.5000, 0.0000)
Ni (0.5000, 0.5000, 0.5000)

---

[13]
Below is BaV2CdNi after structural relaxation, with properties calculated at the PBE-GGA level.

Computed properties:
Total moment   7.67 μB/f.u.
Formation energy from the elements   537 kJ/mol of formula units

a b c (Å): 5.2148 5.2148 4.9545
angles (deg): 90.00 90.00 90.00
Element x y z (fractional)
Ba (0.0000, 0.0000, 0.0000)
V (0.0000, 0.5000, 0.5000)
V (0.5000, 0.0000, 0.5000)
Cd (0.5000, 0.5000, 0.5000)
Ni (0.5000, 0.5000, 0.0000)

---

[14]
Below is BaZn2CdNi after structural relaxation, with properties calculated at the PBE-GGA level.

Computed properties:
Total moment   0.00 μB/f.u.
Formation energy from the elements   -79 kJ/mol of formula units

a b c (Å): 4.8386 4.8386 5.0643
angles (deg): 90.00 90.00 90.00
Element x y z (fractional)
Ba (0.0000, 0.0000, 0.0000)
Zn (0.0000, 0.5000, 0.5000)
Zn (0.5000, 0.0000, 0.5000)
Cd (0.5000, 0.5000, 0.0000)
Ni (0.5000, 0.5000, 0.5000)

---

[15]
Below is BaZnCd2Ni after structural relaxation, with properties calculated at the PBE-GGA level.

Computed properties:
Total moment   0.00 μB/f.u.
Formation energy from the elements   -78 kJ/mol of formula units

a b c (Å): 5.1230 5.1230 4.8291
angles (deg): 90.00 90.00 90.00
Element x y z (fractional)
Ba (0.0000, 0.0000, 0.0000)
Zn (0.5000, 0.5000, 0.0000)
Cd (0.0000, 0.5000, 0.5000)
Cd (0.5000, 0.0000, 0.5000)
Ni (0.5000, 0.5000, 0.5000)

---

[16]
Below is Ba3Np2CdO9 after structural relaxation, with properties calculated at the PBE-GGA level.

Computed properties:
Total moment   4.00 μB/f.u.
Formation energy (no corrections)   -2708 meV/atom

a b c (Å): 6.1809 6.1809 7.6166
angles (deg): 90.00 90.00 120.00
Element x y z (fractional)
Ba (0.0000, 0.0000, 0.0000)
Ba (0.3333, 0.6667, 0.6479)
Ba (0.6667, 0.3333, 0.3521)
Np (0.3333, 0.6667, 0.1660)
Np (0.6667, 0.3333, 0.8340)
Cd (0.0000, 0.0000, 0.5000)
O (0.0000, 0.5000, 0.0000)
O (0.1743, 0.3486, 0.3239)
O (0.1743, 0.8257, 0.3239)
O (0.3486, 0.1743, 0.6761)
O (0.5000, 0.0000, 0.0000)
O (0.5000, 0.5000, 0.0000)
O (0.6514, 0.8257, 0.3239)
O (0.8257, 0.1743, 0.6761)
O (0.8257, 0.6514, 0.6761)

---

[17]
Below is Ba2NpCdO8 after structural relaxation, with properties calculated at the PBE-GGA level.

Computed properties:
Total moment   1.03 μB/f.u.
Formation energy (no corrections)   -2035 meV/atom

a b c (Å): 4.9006 5.7189 7.5260
angles (deg): 91.41 93.28 90.22
Element x y z (fractional)
Ba (0.1467, 0.4778, 0.2764)
Ba (0.8533, 0.5222, 0.7236)
Np (0.5000, 0.0000, 0.5000)
Cd (0.5000, 0.0000, 0.0000)
O (0.2291, 0.2093, 0.5849)
O (0.2824, 0.9794, 0.2265)
O (0.3155, 0.7196, 0.5804)
O (0.4058, 0.5676, 0.9530)
O (0.5942, 0.4324, 0.0470)
O (0.6845, 0.2804, 0.4196)
O (0.7176, 0.0206, 0.7735)
O (0.7709, 0.7907, 0.4151)

---

[18]
Below is BaNpCdO6 after structural relaxation, with properties calculated at the PBE-GGA level.

Computed properties:
Total moment   0.97 μB/f.u.
Formation energy (no corrections)   -2097 meV/atom

a b c (Å): 5.7192 5.7192 5.7465
angles (deg): 90.00 90.00 120.00
Element x y z (fractional)
Ba (0.0000, 0.0000, 0.0000)
Np (0.6667, 0.3333, 0.5000)
Cd (0.3333, 0.6667, 0.5000)
O (0.3892, 0.0388, 0.7035)
O (0.3892, 0.3504, 0.2965)
O (0.6496, 0.0388, 0.2965)
O (0.6496, 0.6108, 0.7035)
O (0.9612, 0.3504, 0.7035)
O (0.9612, 0.6108, 0.2965)

---

[19]
Below is Ba2NpCdPt6 after structural relaxation, with properties calculated at the PBE-GGA level.

Computed properties:
Total moment   1.47 μB/f.u.
Formation energy from the elements   -94 kJ/mol of formula units

a b c (Å): 7.3004 7.3004 7.3004
angles (deg): 60.00 60.00 60.00
Element x y z (fractional)
Ba (0.2500, 0.2500, 0.2500)
Ba (0.7500, 0.7500, 0.7500)
Np (0.0000, 0.0000, 0.0000)
Cd (0.5000, 0.5000, 0.5000)
Pt (0.2432, 0.2432, 0.7568)
Pt (0.2432, 0.7568, 0.2432)
Pt (0.2432, 0.7568, 0.7568)
Pt (0.7568, 0.2432, 0.2432)
Pt (0.7568, 0.2432, 0.7568)
Pt (0.7568, 0.7568, 0.2432)

---

[20]
Below is Ba2NpCdS6 after structural relaxation, with properties calculated at the PBE-GGA level.

Computed properties:
Total moment   1.00 μB/f.u.
Formation energy (no corrections)   -1362 meV/atom

a b c (Å): 7.1251 7.3793 12.3868
angles (deg): 90.00 124.72 90.00
Element x y z (fractional)
Ba (0.2314, 0.0630, 0.2478)
Ba (0.2314, 0.4370, 0.7478)
Ba (0.7686, 0.5630, 0.2522)
Ba (0.7686, 0.9370, 0.7522)
Np (0.5000, 0.0000, 0.0000)
Np (0.5000, 0.5000, 0.5000)
Cd (0.0000, 0.0000, 0.5000)
Cd (0.0000, 0.5000, 0.0000)
S (0.1737, 0.1954, 0.9614)
S (0.1737, 0.3046, 0.4614)
S (0.2675, 0.7136, 0.9611)
S (0.2675, 0.7864, 0.4611)
S (0.3330, 0.0110, 0.7567)
S (0.3330, 0.4890, 0.2567)
S (0.6670, 0.5110, 0.7433)
S (0.6670, 0.9890, 0.2433)
S (0.7325, 0.2136, 0.5389)
S (0.7325, 0.2864, 0.0389)
S (0.8263, 0.6954, 0.5386)
S (0.8263, 0.8046, 0.0386)